1.
Below is a relaxed structure of Pb2C, with properties calculated at the PBE-GGA level.

Computed properties:
Formation energy: 375 kJ/mol of formula units
ΔE to the lowest computed polymorph: 252 meV per atom

Lattice parameters (Å, degrees): 6.210 6.210 3.748 90.00 90.00 90.00
Fractional coordinates of all 6 atoms:
Pb 0.801 0.801 0.000
Pb 0.199 0.199 0.000
Pb 0.301 0.699 0.500
Pb 0.699 0.301 0.500
C 0.500 0.500 0.000
C 0.000 0.000 0.500

2.
Below is a relaxed structure of Sr2LiO12, with properties calculated at the PBE-GGA level.

Computed properties:
Raw formation energy: -0.871 eV/atom
ΔE to the lowest computed polymorph: 13 meV per atom

Lattice parameters (Å, degrees): 4.899 5.208 8.772 100.40 79.01 94.92
Fractional coordinates of all 15 atoms:
Sr 0.834 0.919 0.768
Sr 0.269 0.101 0.165
Li 0.301 0.456 0.816
O 0.308 0.866 0.878
O 0.959 0.249 0.571
O 0.805 0.111 0.066
O 0.051 0.763 0.395
O 0.333 0.062 0.777
O 0.957 0.431 0.696
O 0.745 0.042 0.213
O 0.964 0.542 0.331
O 0.401 0.513 0.579
O 0.586 0.546 0.967
O 0.354 0.313 0.480
O 0.396 0.588 0.098

3.
Below is a relaxed structure of AcPrNd6Er2, with properties calculated at the PBE-GGA level.

Computed properties:
Formation energy: 113 kJ/mol of formula units

Lattice parameters (Å, degrees): 9.868 9.062 9.062 117.19 93.31 93.31
Fractional coordinates of all 20 atoms:
Ac 0.250 0.968 0.032
Ac 0.750 0.032 0.968
Pr 0.250 0.409 0.591
Pr 0.750 0.591 0.409
Nd 0.055 0.113 0.752
Nd 0.445 0.248 0.887
Nd 0.945 0.887 0.248
Nd 0.555 0.752 0.113
Nd 0.321 0.986 0.446
Nd 0.179 0.554 0.014
Nd 0.679 0.014 0.554
Nd 0.821 0.446 0.986
Nd 0.120 0.706 0.488
Nd 0.380 0.512 0.294
Nd 0.880 0.294 0.512
Nd 0.620 0.488 0.706
Er 0.452 0.800 0.694
Er 0.048 0.306 0.200
Er 0.548 0.200 0.306
Er 0.952 0.694 0.800

4.
Below is a relaxed structure of CdCu2SbPb, with properties calculated at the PBE-GGA level.

Computed properties:
Raw formation energy: 0.451 eV/atom

Lattice parameters (Å, degrees): 4.803 6.481 4.803 90.00 90.00 90.00
Fractional coordinates of all 5 atoms:
Pb 0.000 0.500 0.000
Sb 0.000 0.000 0.000
Cu 0.000 0.000 0.500
Cu 0.500 0.000 0.000
Cd 0.500 0.500 0.500

5.
Below is a relaxed structure of NpGeAu2, with properties calculated at the PBE-GGA level.

Computed properties:
Formation energy: -6 kJ/mol of formula units

Lattice parameters (Å, degrees): 4.380 4.398 4.398 90.00 90.00 90.00
Fractional coordinates of all 4 atoms:
Np 0.500 0.000 0.000
Ge 0.500 0.500 0.500
Au 0.000 0.000 0.500
Au 0.000 0.500 0.000

6.
Below is a relaxed structure of FePCSe, with properties calculated at the PBE-GGA level.

Computed properties:
Raw formation energy: 0.380 eV/atom
ΔE to the lowest computed polymorph: 100 meV per atom

Lattice parameters (Å, degrees): 2.646 3.846 7.119 78.02 87.83 69.88
Fractional coordinates of all 4 atoms:
P 0.136 0.346 0.854
C 0.932 0.786 0.701
Fe 0.288 0.099 0.579
Se 0.540 0.639 0.366

7.
Below is a relaxed structure of PrHoTlSn, with properties calculated at the PBE-GGA level.

Computed properties:
Formation energy: -180 kJ/mol of formula units

Lattice parameters (Å, degrees): 5.444 5.444 5.444 60.00 60.00 60.00
Fractional coordinates of all 4 atoms:
Pr 0.250 0.250 0.250
Tl 0.000 0.000 0.000
Ho 0.750 0.750 0.750
Sn 0.500 0.500 0.500

8.
Below is a relaxed structure of Hf2ZrTl, with properties calculated at the PBE-GGA level.

Computed properties:
Formation energy: 156 kJ/mol of formula units
ΔE to the lowest computed polymorph: 428 meV per atom

Lattice parameters (Å, degrees): 4.242 4.242 11.093 78.98 78.98 90.00
Fractional coordinates of all 8 atoms:
Tl 0.000 0.000 0.000
Tl 0.750 0.250 0.500
Hf 0.622 0.125 0.250
Hf 0.128 0.625 0.250
Hf 0.375 0.378 0.750
Hf 0.875 0.872 0.750
Zr 0.500 0.500 0.000
Zr 0.250 0.750 0.500

Number 1: N(E_F) 4.34 states/eV per cell, V 72.3 Å³/f.u.. Number 2: N(E_F) 4.35 states/eV per cell, V 215.8 Å³/f.u.. Number 3: N(E_F) 28.30 states/eV per cell, V 358.2 Å³/f.u.. Number 4: N(E_F) 1.69 states/eV per cell, V 149.5 Å³/f.u.. Number 5: N(E_F) 10.59 states/eV per cell, V 84.7 Å³/f.u.. Number 6: N(E_F) 1.72 states/eV per cell, V 66.5 Å³/f.u.. Number 7: N(E_F) 2.81 states/eV per cell, V 114.1 Å³/f.u.. Number 8: N(E_F) 10.00 states/eV per cell, V 96.1 Å³/f.u..